Record 1
VASP calculation (GGA-PBE) on CaW after structural relaxation.

Calculated values
**Energy of formation**: 0.802 eV per atom
**Energy relative to the lowest polymorph listed for this composition**: 0.63 eV/f.u.

abc: 9.076 9.076 9.076
angles: 160.14 145.09 40.49
Positions (direct):
1 Ca 0.000 0.000 0.000
2 Ca 0.190 0.690 0.500
3 Ca 0.810 0.310 0.500
4 W 0.381 0.881 0.500
5 W 0.500 0.500 0.000
6 W 0.619 0.119 0.500

Record 2
VASP calculation (GGA-PBE) on CaW5 after structural relaxation.

Calculated values
**Energy of formation**: 0.746 eV per atom
**Energy relative to the lowest polymorph listed for this composition**: 1.13 eV/f.u.

abc: 5.711 5.711 7.621
angles: 105.93 105.93 26.89
Positions (direct):
1 Ca 0.000 0.000 0.000
2 W 0.038 0.038 0.619
3 W 0.312 0.312 0.640
4 W 0.343 0.343 0.273
5 W 0.636 0.636 0.358
6 W 0.729 0.729 0.917

Record 3
VASP calculation (GGA-PBE) on CaW3 after structural relaxation.

Calculated values
**Energy of formation**: 0.870 eV per atom
**Energy relative to the lowest polymorph listed for this composition**: 1.26 eV/f.u.

abc: 4.974 4.974 5.634
angles: 90.41 90.41 31.35
Positions (direct):
1 Ca 0.000 0.000 0.000
2 W 0.250 0.250 0.738
3 W 0.500 0.500 0.500
4 W 0.750 0.750 0.262

Record 4
VASP calculation (GGA-PBE) on CaW3 after structural relaxation.

Calculated values
**Energy of formation**: 0.903 eV per atom
**Energy relative to the lowest polymorph listed for this composition**: 1.40 eV/f.u.

abc: 5.541 5.541 2.685
angles: 90.00 90.00 118.87
Positions (direct):
1 Ca 0.000 0.000 0.000
2 W 0.000 0.500 0.500
3 W 0.500 0.000 0.500
4 W 0.500 0.500 0.000

Record 5
VASP calculation (GGA-PBE) on CaW5 after structural relaxation.

Calculated values
**Energy of formation**: 0.557 eV per atom
**Energy relative to the lowest polymorph listed for this composition**: 0.00 eV/f.u.

abc: 5.447 5.447 4.600
angles: 90.00 90.00 130.67
Positions (direct):
1 Ca 0.000 0.000 0.000
2 W 0.175 0.825 0.500
3 W 0.322 0.678 0.000
4 W 0.500 0.500 0.500
5 W 0.678 0.322 0.000
6 W 0.825 0.175 0.500

Record 6
VASP calculation (GGA-PBE) on CaW after structural relaxation.

Calculated values
**Energy of formation**: 1.719 eV per atom
**Energy relative to the lowest polymorph listed for this composition**: 2.46 eV/f.u.

abc: 3.580 3.580 3.580
angles: 90.00 90.00 90.00
Positions (direct):
1 Ca 0.000 0.000 0.000
2 W 0.500 0.500 0.500

Record 7
VASP calculation (GGA-PBE) on CaW after structural relaxation.

Calculated values
**Energy of formation**: 1.061 eV per atom
**Energy relative to the lowest polymorph listed for this composition**: 1.14 eV/f.u.

abc: 5.638 5.638 5.638
angles: 30.62 30.62 30.62
Positions (direct):
1 Ca 0.000 0.000 0.000
2 W 0.500 0.500 0.500

Record 8
VASP calculation (GGA-PBE) on CaW3 after structural relaxation.

Calculated values
**Energy of formation**: 0.872 eV per atom
**Energy relative to the lowest polymorph listed for this composition**: 1.27 eV/f.u.

abc: 10.534 10.534 10.534
angles: 15.52 15.52 15.52
Positions (direct):
1 Ca 0.000 0.000 0.000
2 W 0.245 0.245 0.245
3 W 0.500 0.500 0.500
4 W 0.755 0.755 0.755

Record 9
VASP calculation (GGA-PBE) on Ca5W3 after structural relaxation.

Calculated values
**Energy of formation**: 0.770 eV per atom
**Energy relative to the lowest polymorph listed for this composition**: 0.00 eV/f.u.

abc: 7.047 7.047 4.372
angles: 90.00 90.00 100.88
Positions (direct):
1 Ca 0.000 0.000 0.000
2 Ca 0.000 0.500 0.000
3 Ca 0.256 0.744 0.500
4 Ca 0.500 0.000 0.000
5 Ca 0.744 0.256 0.500
6 W 0.342 0.342 0.500
7 W 0.500 0.500 0.000
8 W 0.658 0.658 0.500

Record 10
VASP calculation (GGA-PBE) on Ca2W after structural relaxation.

Calculated values
**Energy of formation**: 0.535 eV per atom
**Energy relative to the lowest polymorph listed for this composition**: 0.15 eV/f.u.

abc: 15.002 15.002 3.792
angles: 90.00 90.00 167.13
Positions (direct):
1 Ca 0.053 0.947 0.750
2 Ca 0.343 0.657 0.750
3 Ca 0.657 0.343 0.250
4 Ca 0.947 0.053 0.250
5 W 0.260 0.740 0.250
6 W 0.740 0.260 0.750

Record 11
VASP calculation (GGA-PBE) on CaW3 after structural relaxation.

Calculated values
**Energy of formation**: 0.762 eV per atom
**Energy relative to the lowest polymorph listed for this composition**: 0.83 eV/f.u.

abc: 5.582 5.582 5.582
angles: 117.43 117.43 117.43
Positions (direct):
1 Ca 0.000 0.000 0.000
2 W 0.000 0.500 0.500
3 W 0.500 0.000 0.500
4 W 0.500 0.500 0.000

Record 12
VASP calculation (GGA-PBE) on CaW7 after structural relaxation.

Calculated values
**Energy of formation**: 0.867 eV per atom

abc: 5.804 5.804 5.804
angles: 60.00 60.00 60.00
Positions (direct):
1 Ca 0.000 0.000 0.000
2 W 0.000 0.000 0.500
3 W 0.000 0.500 0.000
4 W 0.000 0.500 0.500
5 W 0.500 0.000 0.000
6 W 0.500 0.000 0.500
7 W 0.500 0.500 0.000
8 W 0.500 0.500 0.500

Record 13
VASP calculation (GGA-PBE) on CaW after structural relaxation.

Calculated values
**Energy of formation**: 0.918 eV per atom
**Energy relative to the lowest polymorph listed for this composition**: 0.86 eV/f.u.

abc: 6.748 6.748 6.748
angles: 131.60 122.95 78.01
Positions (direct):
1 Ca 0.129 0.750 0.879
2 Ca 0.250 0.276 0.026
3 Ca 0.371 0.250 0.621
4 Ca 0.750 0.224 0.474
5 W 0.550 0.800 0.750
6 W 0.674 0.750 0.424
7 W 0.826 0.250 0.076
8 W 0.950 0.700 0.250

Record 14
VASP calculation (GGA-PBE) on Ca2W after structural relaxation.

Calculated values
**Energy of formation**: 0.981 eV per atom
**Energy relative to the lowest polymorph listed for this composition**: 1.49 eV/f.u.

abc: 5.749 5.749 5.749
angles: 150.72 127.74 61.03
Positions (direct):
1 Ca 0.159 0.159 0.000
2 Ca 0.841 0.841 0.000
3 W 0.500 0.500 0.000